# 1
Below is a geometry-optimized Er4PdPt5 structure, with properties calculated at the PBE level.

```
10
Lattice="8.2386 -2.2141 0.0000 8.2386 2.2141 0.0000 -0.8636 0.0000 5.5303" Properties=species:S:1:pos:R:3 pbc="T T T"
Er 1.5620 0.0000 1.6281
Er 5.2607 0.0000 0.9629
Er 10.3529 0.0000 4.5674
Er 14.0516 0.0000 3.9022
Pd 7.8068 0.0000 2.7651
Pt 0.3637 0.0000 4.2787
Pt 3.8447 0.0000 3.6642
Pt 8.2386 0.0000 0.0000
Pt 11.7689 0.0000 1.8661
Pt 15.2499 0.0000 1.2516
```

The space group is C2/m (12). The calculation puts the total magnetization at 0.000 μB per atom. The uncorrected energy is -65.73 eV/cell. The calculation puts the formation enthalpy at 0 K at -12.08 eV per formula unit.

# 2
Below is a geometry-optimized Er2Pd2Pt structure, with properties calculated at the PBE level.

```
10
Lattice="-3.0268 6.3588 2.8320 3.0268 -6.3588 2.8320 3.0268 6.3588 -2.8320" Properties=species:S:1:pos:R:3 pbc="T T T"
Er 1.4011 2.0333 0.0000
Er 1.4011 -2.0333 2.8320
Er 1.6257 8.3921 0.0000
Er 1.6257 4.3255 2.8320
Pd 4.1471 1.4751 0.0000
Pd 1.1203 4.8837 0.0000
Pd 1.9065 1.4751 2.8320
Pd -1.1203 4.8837 2.8320
Pt 0.0000 0.0000 1.4160
Pt 0.0000 0.0000 4.2480
```

The space group is Ibam (72). The excess energy over the best structure of this formula in the dataset is 91 meV per atom. The calculation puts the total magnetization at 0.000 μB per atom. The uncorrected energy is -59.54 eV/cell. The calculation puts the formation enthalpy at 0 K at -4.22 eV per formula unit.

# 3
Below is a geometry-optimized ErPd7Pt3 structure, with properties calculated at the PBE level.

```
11
Lattice="5.6175 0.0000 0.0000 -2.8088 4.8649 0.0000 0.0000 0.0000 6.8406" Properties=species:S:1:pos:R:3 pbc="T T T"
Er 0.0000 0.0000 0.0000
Pd -1.3802 2.4464 6.6968
Pd 0.0000 1.6678 2.2573
Pd -1.3644 4.0310 2.2573
Pd 1.3802 2.4464 6.6968
Pd 0.0000 4.8370 6.6968
Pd 1.3644 4.0310 2.2573
Pd 2.8088 1.6216 2.1219
Pt 1.4191 0.8193 4.4365
Pt 4.1984 0.8193 4.4365
Pt 2.8088 3.2263 4.4365
```

The space group is P3m1 (156). The calculation puts the total magnetization at 0.000 μB per atom. The uncorrected energy is -61.59 eV/cell. The calculation puts the formation enthalpy at 0 K at -2.56 eV per formula unit.